# Ac2PrAu6

A geometry-optimized Ac2PrAu6 structure (GGA-PBE, Alexandria).

Symmetry ... No. 71
E_form ... -0.694 eV/atom
DOS at the Fermi energy ... 5.63 states/eV per cell
Energy above the most stable polymorph in this dataset ... 102 meV/atom

Cell: 3.963 8.851 8.851 Å, 52.92 77.06 77.06°
Atoms (fractional coordinates):
Ac  0.357  0.143  0.143
Au  0.171  0.148  0.509
Au  0.000  0.813  0.187
Au  0.171  0.509  0.148
Au  0.829  0.852  0.491
Au  0.000  0.187  0.813
Ac  0.643  0.857  0.857
Pr  0.500  0.500  0.500
Au  0.829  0.491  0.852